Entry 1:
A crystal of Co2AuBr relaxed with PBEsol. Source: Alexandria via LeMat-Bulk, functional SCAN.

Results
Crystal system: orthorhombic
Uncorrected formation energy: 371 meV per atom

a b c (Å): 2.9994 4.1758 10.8999
angles (deg): 90.00 90.00 90.00
Last column: nearest neighbours and their distance in Å.
Space group Imm2 (No. 44)
Asymmetric unit:
Co  0.0000  0.0000  0.0000  2 Co 2.31, 4 Au 2.59
Co  0.0000  0.5000  0.3385  2 Co 2.31, 2 Au 2.55
Au  0.0000  0.0000  0.4721  6 Co 2.55-2.59
Br  0.0000  0.5000  0.6972  2 Co 2.62


Entry 2:
A crystal of Co2AuBr relaxed with PBEsol. Source: Alexandria via LeMat-Bulk, functional SCAN.

Results
Crystal system: trigonal
Uncorrected formation energy: 409 meV per atom

a b c (Å): 3.2417 3.2417 21.6251
angles (deg): 90.00 90.00 120.00
Last column: nearest neighbours and their distance in Å.
Space group R3m (No. 160, hexagonal axes)
Asymmetric unit:
Co  0.0000  0.0000  0.0000  3 Co 2.23
Co  0.0000  0.0000  0.2770  3 Co 2.23
Au  0.0000  0.0000  0.5290  3 Co 2.57
Br  0.0000  0.0000  0.7449  3 Co 2.52


Number 1: total DFT energy (no corrections) -30.44 eV per atom. Number 2: total DFT energy (no corrections) -30.40 eV per atom.